1.
An optimized crystal structure of Tm2ScCu6, computed with PBE.

Its formation energy is -0.233 eV per atom. The raw total energy comes out at -4.661 eV per atom.

The space group is P6/mmm (No. 191) and the conventional cell measures 7.3159, 7.3159 and 3.3191 Å, with angles of 90.00, 90.00 and 120.00 degrees. Symmetry generates all atoms from Tm at (0.3333, 0.6667, 0.0000), Sc at (0.0000, 0.0000, 0.0000) and Cu at (0.0000, 0.3307, 0.5000).

2.
An optimized crystal structure of NiW4Br, computed with PBE.

Its formation energy (no corrections) is 1209 meV per atom. The raw total energy comes out at -8.669 eV per atom.

The space group is F-43m (No. 216) and the conventional cell measures 7.517, 7.517 and 7.517 Å, with angles of 90.00, 90.00 and 90.00 degrees. Symmetry generates all atoms from Ni at (0.000, 0.000, 0.000), W at (0.126, 0.126, 0.374) and Br at (0.250, 0.250, 0.750).

3.
An optimized crystal structure of ZrGe3Pt, computed with PBE.

Its formation energy is 0.941 eV per atom. The raw total energy comes out at -4.747 eV per atom.

The space group is Pm-3m (No. 221) and the conventional cell measures 5.110, 5.110 and 5.110 Å, with angles of 90.00, 90.00 and 90.00 degrees. Symmetry generates all atoms from Zr at (0.000, 0.000, 0.000), Ge at (0.000, 0.000, 0.500) and Pt at (0.500, 0.500, 0.500).

4.
An optimized crystal structure of Zr2ScO, computed with PBE.

Its formation energy (no corrections) is -975 meV per atom. The raw total energy comes out at -8.072 eV per atom.

The space group is I-42d (No. 122) and the conventional cell measures 6.598, 6.598 and 8.100 Å, with angles of 90.00, 90.00 and 90.00 degrees. Symmetry generates all atoms from Zr at (0.112, 0.250, 0.125), Sc at (0.000, 0.000, 0.500) and O at (0.000, 0.000, 0.000).

5.
An optimized crystal structure of La2EuSn, computed with PBE.

Its formation energy is -0.448 eV per atom. The raw total energy comes out at -6.481 eV per atom. For the energy above the most stable polymorph in this dataset, the calculation gives 0.000 eV per atom.

The space group is P4/mmm (No. 123) and the conventional cell measures 5.076, 5.076 and 4.977 Å, with angles of 90.00, 90.00 and 90.00 degrees. Symmetry generates all atoms from La at (0.000, 0.500, 0.000), Eu at (0.000, 0.000, 0.500) and Sn at (0.500, 0.500, 0.500).

In the order shown, the computed calculated density values come out to 8247 13666 6277 4585 7104 kg/m3.